Computed, not measured: an optimized crystal structure of TlCd3O3 at the PBE level of DFT.

D(E_F) in states/eV per atom: 0.283
E_tot in eV/atom: -3.567
Uncorrected formation energy in eV per formula unit: -4.98

Cell: 6.6245 6.6245 22.8253 Å, 90.00 90.00 120.00°
Space group R-3 (No. 148, hexagonal axes)
Asymmetric unit:
Tl 0.0000 0.0000 0.1686
Cd 0.0043 0.6782 0.6137
O 0.0037 0.6620 0.3885